No. 1
Compound: In7W
Source: the Alexandria database
Functional: PBE-GGA
Structure: relaxed

E_form ... 3.5 eV per formula unit
Size of the total moment ... 0.0 Bohr magnetons per cell

Cell and atoms, written as CIF:
```
data_In7W
_chemical_formula_sum 'In28 W4'
_symmetry_space_group_name_H-M 'F m -3 m'
_symmetry_Int_Tables_number 225
_symmetry_space_group_name_Hall '-F 4 2 3'
_cell_length_a 9.039
_cell_length_b 9.039
_cell_length_c 9.039
_cell_angle_alpha 90.00
_cell_angle_beta 90.00
_cell_angle_gamma 90.00
loop_
_atom_site_label
_atom_site_fract_x
_atom_site_fract_y
_atom_site_fract_z
In1 0.000 0.000 0.000
In2 0.000 0.250 0.250
W1 0.000 0.000 0.500
```

=====

No. 2
Compound: YInW2
Source: the Alexandria database
Functional: PBE-GGA
Structure: relaxed

E_form ... 2.3 eV per formula unit
Size of the total moment ... 0.0 Bohr magnetons per cell

Cell and atoms, written as CIF:
```
data_YInW2
_chemical_formula_sum 'Y2 In2 W4'
_symmetry_space_group_name_H-M 'I 4/m m m'
_symmetry_Int_Tables_number 139
_symmetry_space_group_name_Hall '-I 4 2'
_cell_length_a 4.103
_cell_length_b 4.103
_cell_length_c 9.538
_cell_angle_alpha 90.00
_cell_angle_beta 90.00
_cell_angle_gamma 90.00
loop_
_atom_site_label
_atom_site_fract_x
_atom_site_fract_y
_atom_site_fract_z
Y1 0.000 0.000 0.000
In1 0.000 0.000 0.500
W1 0.000 0.500 0.250
```

=====

No. 3
Compound: YInW
Source: the Alexandria database
Functional: PBE-GGA
Structure: relaxed

E_form ... 2.7 eV per formula unit
ΔE to the lowest computed polymorph ... 560.4 meV/atom
Size of the total moment ... 8.3 Bohr magnetons per cell

Cell and atoms, written as CIF:
```
data_YInW
_chemical_formula_sum 'Y4 In4 W4'
_symmetry_space_group_name_H-M 'F -4 3 m'
_symmetry_Int_Tables_number 216
_symmetry_space_group_name_Hall 'F -4 2 3'
_cell_length_a 6.839
_cell_length_b 6.839
_cell_length_c 6.839
_cell_angle_alpha 90.00
_cell_angle_beta 90.00
_cell_angle_gamma 90.00
loop_
_atom_site_label
_atom_site_fract_x
_atom_site_fract_y
_atom_site_fract_z
Y1 0.000 0.000 0.000
In1 0.000 0.000 0.500
W1 0.250 0.250 0.750
```

=====

No. 4
Compound: YInW2
Source: the Alexandria database
Functional: PBE-GGA
Structure: relaxed

E_form ... 3.2 eV per formula unit
Size of the total moment ... 0.0 Bohr magnetons per cell

Cell and atoms, written as CIF:
```
data_YInW2
_chemical_formula_sum 'Y3 In3 W6'
_symmetry_space_group_name_H-M 'R -3 m'
_symmetry_Int_Tables_number 166
_symmetry_space_group_name_Hall '-R 3 2"'
_cell_length_a 3.0349
_cell_length_b 3.0349
_cell_length_c 30.0086
_cell_angle_alpha 90.00
_cell_angle_beta 90.00
_cell_angle_gamma 120.00
loop_
_atom_site_label
_atom_site_fract_x
_atom_site_fract_y
_atom_site_fract_z
Y1 0.0000 0.0000 0.0000
In1 0.0000 0.0000 0.5000
W1 0.0000 0.0000 0.2462
```

=====

No. 5
Compound: YInW2
Source: the Alexandria database
Functional: PBE-GGA
Structure: relaxed

E_form ... 1.6 eV per formula unit
Size of the total moment ... 0.0 Bohr magnetons per cell

Cell and atoms, written as CIF:
```
data_YInW2
_chemical_formula_sum 'Y3 In3 W6'
_symmetry_space_group_name_H-M 'R 3 m'
_symmetry_Int_Tables_number 160
_symmetry_space_group_name_Hall 'R 3 -2"'
_cell_length_a 3.2069
_cell_length_b 3.2069
_cell_length_c 28.3170
_cell_angle_alpha 90.00
_cell_angle_beta 90.00
_cell_angle_gamma 120.00
loop_
_atom_site_label
_atom_site_fract_x
_atom_site_fract_y
_atom_site_fract_z
Y1 0.0000 0.0000 0.0000
In1 0.0000 0.0000 0.2353
W1 0.0000 0.0000 0.4835
W2 0.0000 0.0000 0.7527
```

=====

No. 6
Compound: YInW4
Source: the Alexandria database
Functional: PBE-GGA
Structure: relaxed

E_form ... 1.9 eV per formula unit
Size of the total moment ... 0.0 Bohr magnetons per cell

Cell and atoms, written as CIF:
```
data_YInW4
_chemical_formula_sum 'Y4 In4 W16'
_symmetry_space_group_name_H-M 'F -4 3 m'
_symmetry_Int_Tables_number 216
_symmetry_space_group_name_Hall 'F -4 2 3'
_cell_length_a 7.738
_cell_length_b 7.738
_cell_length_c 7.738
_cell_angle_alpha 90.00
_cell_angle_beta 90.00
_cell_angle_gamma 90.00
loop_
_atom_site_label
_atom_site_fract_x
_atom_site_fract_y
_atom_site_fract_z
Y1 0.000 0.000 0.000
In1 0.250 0.250 0.750
W1 0.124 0.124 0.376
```

=====

No. 7
Compound: YInW2
Source: the Alexandria database
Functional: PBE-GGA
Structure: relaxed

E_form ... 2.4 eV per formula unit
Size of the total moment ... 0.0 Bohr magnetons per cell

Cell and atoms, written as CIF:
```
data_YInW2
_chemical_formula_sum 'Y1 In1 W2'
_symmetry_space_group_name_H-M 'P 4/m m m'
_symmetry_Int_Tables_number 123
_symmetry_space_group_name_Hall '-P 4 2'
_cell_length_a 3.622
_cell_length_b 3.622
_cell_length_c 6.457
_cell_angle_alpha 90.00
_cell_angle_beta 90.00
_cell_angle_gamma 90.00
loop_
_atom_site_label
_atom_site_fract_x
_atom_site_fract_y
_atom_site_fract_z
Y1 0.000 0.000 0.000
In1 0.000 0.000 0.500
W1 0.500 0.500 0.310
```

=====

No. 8
Compound: YInW2
Source: the Alexandria database
Functional: PBE-GGA
Structure: relaxed

E_form ... 1.4 eV per formula unit
Size of the total moment ... 0.0 Bohr magnetons per cell

Cell and atoms, written as CIF:
```
data_YInW2
_chemical_formula_sum 'Y1 In1 W2'
_symmetry_space_group_name_H-M 'P 1 m 1'
_symmetry_Int_Tables_number 6
_cell_length_a 2.976
_cell_length_b 4.308
_cell_length_c 6.439
_cell_angle_alpha 90.00
_cell_angle_beta 97.57
_cell_angle_gamma 90.00
loop_
_symmetry_equiv_pos_as_xyz
'x,y,z'
'x,-y,z'
loop_
_atom_site_label
_atom_site_fract_x
_atom_site_fract_y
_atom_site_fract_z
Y1 0.000 0.000 0.000
In1 0.594 0.500 0.293
W1 0.156 0.000 0.538
W2 0.472 0.500 0.731
```

=====

No. 9
Compound: YInW2
Source: the Alexandria database
Functional: PBE-GGA
Structure: relaxed

E_form ... 1.6 eV per formula unit
Size of the total moment ... 0.0 Bohr magnetons per cell

Cell and atoms, written as CIF:
```
data_YInW2
_chemical_formula_sum 'Y4 In4 W8'
_symmetry_space_group_name_H-M 'F -4 3 m'
_symmetry_Int_Tables_number 216
_symmetry_space_group_name_Hall 'F -4 2 3'
_cell_length_a 6.792
_cell_length_b 6.792
_cell_length_c 6.792
_cell_angle_alpha 90.00
_cell_angle_beta 90.00
_cell_angle_gamma 90.00
loop_
_atom_site_label
_atom_site_fract_x
_atom_site_fract_y
_atom_site_fract_z
Y1 0.000 0.000 0.000
In1 0.250 0.250 0.750
W1 0.000 0.000 0.500
W2 0.250 0.250 0.250
```

=====

No. 10
Compound: YInW2
Source: the Alexandria database
Functional: PBE-GGA
Structure: relaxed

E_form ... 2.1 eV per formula unit
Size of the total moment ... 0.0 Bohr magnetons per cell

Cell and atoms, written as CIF:
```
data_YInW2
_chemical_formula_sum 'Y1 In1 W2'
_symmetry_space_group_name_H-M 'P 4/m m m'
_symmetry_Int_Tables_number 123
_symmetry_space_group_name_Hall '-P 4 2'
_cell_length_a 4.093
_cell_length_b 4.093
_cell_length_c 4.739
_cell_angle_alpha 90.00
_cell_angle_beta 90.00
_cell_angle_gamma 90.00
loop_
_atom_site_label
_atom_site_fract_x
_atom_site_fract_y
_atom_site_fract_z
Y1 0.000 0.000 0.000
In1 0.500 0.500 0.000
W1 0.000 0.500 0.500
```

=====

No. 11
Compound: YInW2
Source: the Alexandria database
Functional: PBE-GGA
Structure: relaxed

E_form ... 1.6 eV per formula unit
Size of the total moment ... 0.0 Bohr magnetons per cell

Cell and atoms, written as CIF:
```
data_YInW2
_chemical_formula_sum 'Y2 In2 W4'
_symmetry_space_group_name_H-M 'I m m 2'
_symmetry_Int_Tables_number 44
_cell_length_a 3.516
_cell_length_b 4.933
_cell_length_c 9.577
_cell_angle_alpha 90.00
_cell_angle_beta 90.00
_cell_angle_gamma 90.00
loop_
_symmetry_equiv_pos_as_xyz
'x,y,z'
'-x,-y,z'
'-x,y,z'
'x,-y,z'
'x+1/2,y+1/2,z+1/2'
'-x+1/2,-y+1/2,z+1/2'
'-x+1/2,y+1/2,z+1/2'
'x+1/2,-y+1/2,z+1/2'
loop_
_atom_site_label
_atom_site_fract_x
_atom_site_fract_y
_atom_site_fract_z
Y1 0.000 0.000 0.000
In1 0.000 0.500 0.779
W1 0.000 0.000 0.543
W2 0.000 0.500 0.234
```

=====

No. 12
Compound: YInW2
Source: the Alexandria database
Functional: PBE-GGA
Structure: relaxed

E_form ... 2.7 eV per formula unit
Size of the total moment ... 0.0 Bohr magnetons per cell

Cell and atoms, written as CIF:
```
data_YInW2
_chemical_formula_sum 'Y1 In1 W2'
_symmetry_space_group_name_H-M 'P 4/m m m'
_symmetry_Int_Tables_number 123
_symmetry_space_group_name_Hall '-P 4 2'
_cell_length_a 2.886
_cell_length_b 2.886
_cell_length_c 9.517
_cell_angle_alpha 90.00
_cell_angle_beta 90.00
_cell_angle_gamma 90.00
loop_
_atom_site_label
_atom_site_fract_x
_atom_site_fract_y
_atom_site_fract_z
Y1 0.000 0.000 0.000
In1 0.000 0.000 0.500
W1 0.500 0.500 0.265
```

=====

No. 13
Compound: YInW
Source: the Alexandria database
Functional: PBE-GGA
Structure: relaxed

E_form ... 1.1 eV per formula unit
ΔE to the lowest computed polymorph ... 22.4 meV/atom
Size of the total moment ... 0.0 Bohr magnetons per cell

Cell and atoms, written as CIF:
```
data_YInW
_chemical_formula_sum 'Y2 In2 W2'
_symmetry_space_group_name_H-M 'I m m 2'
_symmetry_Int_Tables_number 44
_cell_length_a 3.227
_cell_length_b 3.968
_cell_length_c 10.341
_cell_angle_alpha 90.00
_cell_angle_beta 90.00
_cell_angle_gamma 90.00
loop_
_symmetry_equiv_pos_as_xyz
'x,y,z'
'-x,-y,z'
'-x,y,z'
'x,-y,z'
'x+1/2,y+1/2,z+1/2'
'-x+1/2,-y+1/2,z+1/2'
'-x+1/2,y+1/2,z+1/2'
'x+1/2,-y+1/2,z+1/2'
loop_
_atom_site_label
_atom_site_fract_x
_atom_site_fract_y
_atom_site_fract_z
Y1 0.000 0.000 0.000
In1 0.000 0.000 0.307
W1 0.000 0.000 0.670
```

=====

No. 14
Compound: YInW2
Source: the Alexandria database
Functional: PBE-GGA
Structure: relaxed

E_form ... 1.9 eV per formula unit
Size of the total moment ... 0.0 Bohr magnetons per cell

Cell and atoms, written as CIF:
```
data_YInW2
_chemical_formula_sum 'Y2 In2 W4'
_symmetry_space_group_name_H-M 'C 1 m 1'
_symmetry_Int_Tables_number 8
_cell_length_a 8.574
_cell_length_b 3.155
_cell_length_c 6.574
_cell_angle_alpha 90.00
_cell_angle_beta 98.10
_cell_angle_gamma 90.00
loop_
_symmetry_equiv_pos_as_xyz
'x,y,z'
'x,-y,z'
'x+1/2,y+1/2,z'
'x+1/2,-y+1/2,z'
loop_
_atom_site_label
_atom_site_fract_x
_atom_site_fract_y
_atom_site_fract_z
Y1 0.000 0.000 0.000
In1 0.242 0.000 0.685
W1 0.261 0.500 0.294
W2 0.494 0.000 0.441
```

=====

No. 15
Compound: YInW
Source: the Alexandria database
Functional: PBE-GGA
Structure: relaxed

E_form ... 1.3 eV per formula unit
ΔE to the lowest computed polymorph ... 95.0 meV/atom
Size of the total moment ... 0.0 Bohr magnetons per cell

Cell and atoms, written as CIF:
```
data_YInW
_chemical_formula_sum 'Y1 In1 W1'
_symmetry_space_group_name_H-M 'P 3 m 1'
_symmetry_Int_Tables_number 156
_cell_length_a 5.0492
_cell_length_b 5.0492
_cell_length_c 2.9908
_cell_angle_alpha 90.00
_cell_angle_beta 90.00
_cell_angle_gamma 120.00
loop_
_symmetry_equiv_pos_as_xyz
'x,y,z'
'-y,x-y,z'
'-x+y,-x,z'
'-y,-x,z'
'-x+y,y,z'
'x,x-y,z'
loop_
_atom_site_label
_atom_site_fract_x
_atom_site_fract_y
_atom_site_fract_z
Y1 0.0000 0.0000 0.0000
In1 0.6667 0.3333 0.4954
W1 0.3333 0.6667 0.5060
```